Entry 1:
BH3S | PBE | relaxed

* energy above the lowest structure with this stoichiometry: 135.14 kJ per mole of atoms
* SG: No. 221

Cell: 3.211 3.211 3.211 Å, 90.00 90.00 90.00°
Fractional coordinates of all 5 atoms:
B 0.000 0.000 0.000
H 0.000 0.000 0.500
H 0.000 0.500 0.000
H 0.500 0.000 0.000
S 0.500 0.500 0.500



Entry 2:
B2HS4 | PBE | relaxed

* electronic total energy: -29.28 eV/cell
* SG: No. 139

Cell: 6.338 6.338 6.338 Å, 142.31 142.31 54.35°
Fractional coordinates of all 7 atoms:
B 0.077 0.077 0.000
B 0.923 0.923 0.000
H 0.500 0.500 0.000
S 0.000 0.500 0.500
S 0.235 0.235 0.000
S 0.500 0.000 0.500
S 0.765 0.765 0.000